Material: LiYB14
Method: DFT, PBE-GGA
State: relaxed

E_form   -27.12 kJ/mol of atoms
Total DFT energy (no corrections)   -212.7 eV for the cell shown
SG   Imma, No. 74

Unit cell a=5.881 b=7.266 c=7.266 alpha=69.07 beta=66.13 gamma=66.13
Element x y z (fractional)
Li 0.500 0.000 0.500
Li 0.000 0.000 0.500
Y 0.250 0.379 0.121
Y 0.750 0.621 0.879
B 0.666 0.361 0.307
B 0.334 0.639 0.693
B 0.166 0.807 0.861
B 0.834 0.193 0.139
B 0.149 0.223 0.480
B 0.851 0.777 0.520
B 0.649 0.980 0.723
B 0.351 0.020 0.277
B 0.089 0.085 0.738
B 0.911 0.915 0.262
B 0.589 0.238 0.585
B 0.411 0.762 0.415
B 0.717 0.601 0.281
B 0.599 0.399 0.719
B 0.217 0.781 0.101
B 0.099 0.219 0.899
B 0.283 0.399 0.719
B 0.401 0.601 0.281
B 0.783 0.219 0.899
B 0.901 0.781 0.101
B 0.330 0.967 0.873
B 0.170 0.033 0.127
B 0.830 0.373 0.467
B 0.670 0.627 0.533
B 0.670 0.033 0.127
B 0.830 0.967 0.873
B 0.170 0.627 0.533
B 0.330 0.373 0.467